Entry from Alexandria via LeMat-Bulk: a relaxed Hf2TaCu crystal (GGA-PBE).

a b c (Å): 3.1699 3.1699 7.4997
angles (deg): 90.00 90.00 90.00
With the nearest neighbours (Å) after each atom.
Fractional positions:
Hf1 0.0000 0.0000 0.2339  4 Cu 2.85, 4 Ta 3.00, 4 Hf 3.17
Hf2 0.0000 0.0000 0.7661  4 Cu 2.85, 4 Ta 3.00, 4 Hf 3.17
Ta1 0.5000 0.5000 0.5000  8 Hf 3.00, 4 Ta 3.17
Cu1 0.5000 0.5000 0.0000  8 Hf 2.85, 4 Cu 3.17

Calculated values
- Offset from the most stable computed form: 0.000 eV per atom
- Formation energy from the elements: -0.1 eV/f.u.
- D(E_F): 4.04 states/eV per cell


Entry from Alexandria via LeMat-Bulk: a relaxed Ta2TcRu crystal (GGA-PBE).

a b c (Å): 9.1183 9.1183 9.1183
angles (deg): 153.94 153.94 37.18
With the nearest neighbours (Å) after each atom.
Fractional positions:
Ta1 0.1243 0.6250 0.9993  2 Ru 2.60, 2 Tc 2.61, 4 Ta 2.90-2.91
Ta2 0.3750 0.3743 0.4993  2 Ru 2.60, 2 Tc 2.61, 4 Ta 2.90-2.91
Ta3 0.6257 0.1250 0.0007  2 Ru 2.60, 2 Tc 2.61, 4 Ta 2.90-2.91
Ta4 0.8750 0.8757 0.5007  2 Ru 2.60, 2 Tc 2.61, 4 Ta 2.90-2.91
Tc1 0.2500 0.7500 0.5000  4 Ta 2.61, 4 Ru 2.91
Tc2 0.5000 0.5000 0.0000  4 Ta 2.61, 4 Ru 2.91
Ru1 0.0000 0.0000 0.0000  4 Ta 2.60, 4 Tc 2.91
Ru2 0.7500 0.2500 0.5000  4 Ta 2.60, 4 Tc 2.91

Calculated values
- Formation energy from the elements: 2.8 eV/f.u.
- D(E_F): 11.67 states/eV per cell


Entry from Alexandria via LeMat-Bulk: a relaxed Ac2PaCuSe5 crystal (GGA-PBE).

a b c (Å): 9.1248 9.1248 12.9829
angles (deg): 90.00 90.00 153.59
With the nearest neighbours (Å) after each atom.
Fractional positions:
Ac1 0.1167 0.8833 0.5000  8 Se 3.12-3.43
Ac2 0.1207 0.8793 0.8561  7 Se 3.11-3.29
Ac3 0.8793 0.1207 0.3561  7 Se 3.11-3.29
Ac4 0.8833 0.1167 0.0000  8 Se 3.12-3.43
Pa1 0.1811 0.8189 0.1809  6 Se 2.81-2.93
Pa2 0.8189 0.1811 0.6809  6 Se 2.81-2.93
Cu1 0.4434 0.5566 0.5806  4 Se 2.44-2.50
Cu2 0.5566 0.4434 0.0806  4 Se 2.44-2.50
Se1 0.0231 0.9769 0.1718  2 Cu 2.47
Se2 0.3052 0.6948 0.8377  2 Pa 2.92, 2 Ac 3.27
Se3 0.3089 0.6911 0.5231  1 Cu 2.50
Se4 0.3442 0.6558 0.1774  1 Pa 2.90, 4 Ac 3.18
Se5 0.4969 0.5031 0.9116  1 Cu 2.44
Se6 0.5031 0.4969 0.4116  1 Cu 2.44
Se7 0.6558 0.3442 0.6774  1 Pa 2.90, 4 Ac 3.18
Se8 0.6911 0.3089 0.0231  1 Cu 2.50
Se9 0.6948 0.3052 0.3377  2 Pa 2.92, 2 Ac 3.27
Se10 0.9769 0.0231 0.6718  2 Cu 2.47

Calculated values
- D(E_F): 10.83 states/eV per cell
- Uncorrected formation energy: -1523.1 meV per atom


Entry from Alexandria via LeMat-Bulk: a relaxed Li2Ca2YTl2 crystal (GGA-PBE).

a b c (Å): 9.6970 9.6970 9.6970
angles (deg): 29.48 29.48 29.48
With the nearest neighbours (Å) after each atom.
Fractional positions:
Li1 0.1114 0.1114 0.1114  3 Tl 2.86
Li2 0.8886 0.8886 0.8886  3 Tl 2.86
Ca1 0.3767 0.3767 0.3767  3 Tl 3.31, 3 Li 3.42, 1 Y 3.43
Ca2 0.6233 0.6233 0.6233  3 Tl 3.31, 3 Li 3.42, 1 Y 3.43
Y1 0.5000 0.5000 0.5000  6 Li 3.24, 6 Tl 3.34, 2 Ca 3.43
Tl1 0.2297 0.2297 0.2297  3 Li 2.86
Tl2 0.7703 0.7703 0.7703  3 Li 2.86

Calculated values
- Formation energy from the elements: -1.7 eV/f.u.
- D(E_F): 5.02 states/eV per cell


Entry from Alexandria via LeMat-Bulk: a relaxed LiNi3Ge crystal (GGA-PBE).

a b c (Å): 4.3756 4.3756 4.3756
angles (deg): 90.00 90.00 90.00
With the nearest neighbours (Å) after each atom.
Fractional positions:
Li1 0.0000 0.0000 0.0000  12 Ni 3.09
Ni1 0.0000 0.5000 0.5000  2 Ge 2.19
Ni2 0.5000 0.0000 0.5000  2 Ge 2.19
Ni3 0.5000 0.5000 0.0000  2 Ge 2.19
Ge1 0.5000 0.5000 0.5000  6 Ni 2.19

Calculated values
- Offset from the most stable computed form: 0.674 eV per atom
- Formation energy from the elements: 2.0 eV/f.u.
- D(E_F): 7.76 states/eV per cell


Entry from Alexandria via LeMat-Bulk: a relaxed TbSbIr crystal (GGA-PBE).

a b c (Å): 7.2144 4.5318 7.9367
angles (deg): 90.00 90.00 90.00
With the nearest neighbours (Å) after each atom.
Fractional positions:
Tb1 0.0118 0.2500 0.1927  5 Ir 3.01-3.26, 6 Sb 3.17-3.36
Tb2 0.4882 0.7500 0.6927  5 Ir 3.01-3.26, 6 Sb 3.17-3.36
Tb3 0.5118 0.2500 0.3073  5 Ir 3.01-3.26, 6 Sb 3.17-3.36
Tb4 0.9882 0.7500 0.8073  5 Ir 3.01-3.26, 6 Sb 3.17-3.36
Sb1 0.1780 0.2500 0.5880  4 Ir 2.67-2.79
Sb2 0.3220 0.7500 0.0880  4 Ir 2.67-2.79
Sb3 0.6780 0.2500 0.9120  4 Ir 2.67-2.79
Sb4 0.8220 0.7500 0.4120  4 Ir 2.67-2.79
Ir1 0.2083 0.7500 0.4113  4 Sb 2.67-2.79
Ir2 0.2917 0.2500 0.9113  4 Sb 2.67-2.79
Ir3 0.7083 0.7500 0.0887  4 Sb 2.67-2.79
Ir4 0.7917 0.2500 0.5887  4 Sb 2.67-2.79

Calculated values
- D(E_F): 6.35 states/eV per cell
- Uncorrected formation energy: -896.2 meV per atom


Entry from Alexandria via LeMat-Bulk: a relaxed Ho6Er3Pb crystal (GGA-PBE).

a b c (Å): 11.1715 11.1715 6.2575
angles (deg): 90.00 90.00 128.71
With the nearest neighbours (Å) after each atom.
Fractional positions:
Ho1 0.0122 0.9878 0.5000  2 Ho 3.17, 1 Pb 3.17, 4 Er 3.41-3.44
Ho2 0.1025 0.5401 0.0341  3 Er 3.20-3.53, 4 Ho 3.29-3.55
Ho3 0.2615 0.3731 0.2515  3 Er 3.39-3.49, 4 Ho 3.53-3.70, 1 Pb 3.62
Ho4 0.2877 0.7123 0.4804  1 Er 3.14, 1 Pb 3.20, 4 Ho 3.29-3.42
Ho5 0.3731 0.2615 0.7515  3 Er 3.39-3.49, 4 Ho 3.53-3.70, 1 Pb 3.62
Ho6 0.4599 0.8975 0.0341  3 Er 3.20-3.53, 4 Ho 3.29-3.55
Ho7 0.5401 0.1025 0.5341  3 Er 3.20-3.53, 4 Ho 3.29-3.55
Ho8 0.6269 0.7385 0.2515  3 Er 3.39-3.49, 4 Ho 3.53-3.70, 1 Pb 3.62
Ho9 0.7123 0.2877 0.9804  1 Er 3.14, 1 Pb 3.20, 4 Ho 3.29-3.42
Ho10 0.7385 0.6269 0.7515  3 Er 3.39-3.49, 4 Ho 3.53-3.70, 1 Pb 3.62
Ho11 0.8975 0.4599 0.5341  3 Er 3.20-3.53, 4 Ho 3.29-3.55
Ho12 0.9878 0.0122 0.0000  2 Ho 3.17, 1 Pb 3.17, 4 Er 3.41-3.44
Er1 0.0458 0.2961 0.6916  5 Ho 3.20-3.44, 2 Er 3.31-3.32, 1 Pb 3.31
Er2 0.2961 0.0458 0.1916  5 Ho 3.20-3.44, 2 Er 3.31-3.32, 1 Pb 3.31
Er3 0.4127 0.5873 0.7820  5 Ho 3.14-3.49, 2 Er 3.32
Er4 0.5873 0.4127 0.2820  5 Ho 3.14-3.49, 2 Er 3.32
Er5 0.7039 0.9542 0.6916  5 Ho 3.20-3.44, 2 Er 3.31-3.32, 1 Pb 3.31
Er6 0.9542 0.7039 0.1916  5 Ho 3.20-3.44, 2 Er 3.31-3.32, 1 Pb 3.31
Pb1 0.1507 0.8493 0.7406  2 Ho 3.17-3.20, 2 Er 3.31
Pb2 0.8493 0.1507 0.2406  2 Ho 3.17-3.20, 2 Er 3.31

Calculated values
- Formation energy from the elements: 0.0 eV/f.u.
- D(E_F): 21.93 states/eV per cell


Entry from Alexandria via LeMat-Bulk: a relaxed FeTcRu2 crystal (GGA-PBE).

a b c (Å): 2.6876 2.6876 7.4791
angles (deg): 90.00 90.00 90.00
With the nearest neighbours (Å) after each atom.
Fractional positions:
Fe1 0.0000 0.0000 0.0000  8 Ru 2.62, 4 Fe 2.69
Tc1 0.0000 0.0000 0.5000  4 Tc 2.69, 8 Ru 2.72
Ru1 0.5000 0.5000 0.2403  4 Fe 2.62, 4 Ru 2.69, 4 Tc 2.72
Ru2 0.5000 0.5000 0.7597  4 Fe 2.62, 4 Ru 2.69, 4 Tc 2.72

Calculated values
- Offset from the most stable computed form: 0.007 eV per atom
- Formation energy from the elements: 0.4 eV/f.u.
- D(E_F): 4.70 states/eV per cell


Entry from Alexandria via LeMat-Bulk: a relaxed CsMn3Cu crystal (GGA-PBE).

a b c (Å): 5.0349 5.0349 5.0349
angles (deg): 90.00 90.00 90.00
With the nearest neighbours (Å) after each atom.
Fractional positions:
Cs1 0.0000 0.0000 0.0000  6 Mn 2.52
Mn1 0.0000 0.0000 0.5000  2 Cs 2.52
Mn2 0.0000 0.5000 0.0000  2 Cs 2.52
Mn3 0.5000 0.0000 0.0000  2 Cs 2.52
Cu1 0.5000 0.5000 0.5000  12 Mn 3.56

Calculated values
- Formation energy from the elements: 12.6 eV/f.u.
- D(E_F): 2.77 states/eV per cell


Entry from Alexandria via LeMat-Bulk: a relaxed Cs2Tl2Au crystal (GGA-PBE).

a b c (Å): 7.9846 7.9846 6.3858
angles (deg): 90.00 90.00 90.00
With the nearest neighbours (Å) after each atom.
Fractional positions:
Cs1 0.1870 0.3130 0.0000  6 Tl 3.77-4.13, 4 Cs 4.12
Cs2 0.3130 0.8130 0.0000  6 Tl 3.77-4.13, 4 Cs 4.12
Cs3 0.6870 0.1870 0.0000  6 Tl 3.77-4.13, 4 Cs 4.12
Cs4 0.8130 0.6870 0.0000  6 Tl 3.77-4.13, 4 Cs 4.12
Tl1 0.1361 0.6361 0.5000  1 Tl 3.07, 2 Au 3.10
Tl2 0.3639 0.1361 0.5000  1 Tl 3.07, 2 Au 3.10
Tl3 0.6361 0.8639 0.5000  1 Tl 3.07, 2 Au 3.10
Tl4 0.8639 0.3639 0.5000  1 Tl 3.07, 2 Au 3.10
Au1 0.0000 0.0000 0.5000  4 Tl 3.10
Au2 0.5000 0.5000 0.5000  4 Tl 3.10

Calculated values
- Offset from the most stable computed form: 0.111 eV per atom
- Formation energy from the elements: -0.2 eV/f.u.
- D(E_F): 8.47 states/eV per cell


Entry from Alexandria via LeMat-Bulk: a relaxed LaDy8Th4 crystal (GGA-PBE).

a b c (Å): 9.8850 9.8850 9.8850
angles (deg): 43.79 43.79 43.79
With the nearest neighbours (Å) after each atom.
Fractional positions:
La1 0.0000 0.0000 0.0000  6 Dy 2.92
Dy1 0.2497 0.2497 0.6911  1 La 2.92, 2 Dy 3.25
Dy2 0.2497 0.6911 0.2497  1 La 2.92, 2 Dy 3.25
Dy3 0.2781 0.2781 0.2781  3 Th 3.66, 9 Dy 3.69-3.70
Dy4 0.3089 0.7503 0.7503  1 La 2.92, 2 Dy 3.25
Dy5 0.6911 0.2497 0.2497  1 La 2.92, 2 Dy 3.25
Dy6 0.7219 0.7219 0.7219  3 Th 3.66, 9 Dy 3.69-3.70
Dy7 0.7503 0.3089 0.7503  1 La 2.92, 2 Dy 3.25
Dy8 0.7503 0.7503 0.3089  1 La 2.92, 2 Dy 3.25
Th1 0.0000 0.0000 0.5000  6 Dy 3.57-3.66, 6 Th 3.69
Th2 0.0000 0.5000 0.0000  6 Dy 3.57-3.66, 6 Th 3.69
Th3 0.5000 0.0000 0.0000  6 Dy 3.57-3.66, 6 Th 3.69
Th4 0.5000 0.5000 0.5000  6 Dy 3.34, 6 Th 3.69

Calculated values
- Formation energy from the elements: 2.6 eV/f.u.
- D(E_F): 16.94 states/eV per cell


Entry from Alexandria via LeMat-Bulk: a relaxed Nb3Rh4Au crystal (GGA-PBE).

a b c (Å): 9.1347 5.7405 4.8538
angles (deg): 90.00 90.00 90.00
With the nearest neighbours (Å) after each atom.
Fractional positions:
Nb1 0.0000 0.0000 0.0000  8 Rh 2.80-2.81, 2 Au 2.87, 2 Nb 2.91
Nb2 0.2500 0.0000 0.3700  8 Rh 2.75-2.90, 4 Nb 2.87-2.91
Nb3 0.2500 0.5000 0.3466  8 Rh 2.79-2.84, 2 Au 2.84, 2 Nb 2.87
Nb4 0.5000 0.0000 0.0000  8 Rh 2.80-2.81, 2 Au 2.87, 2 Nb 2.91
Nb5 0.7500 0.0000 0.6300  8 Rh 2.75-2.90, 4 Nb 2.87-2.91
Nb6 0.7500 0.5000 0.6534  8 Rh 2.79-2.84, 2 Au 2.84, 2 Nb 2.87
Rh1 0.0000 0.2472 0.5000  6 Nb 2.76-2.81, 2 Au 2.83, 4 Rh 2.84-2.90
Rh2 0.0000 0.7528 0.5000  6 Nb 2.76-2.81, 2 Au 2.83, 4 Rh 2.84-2.90
Rh3 0.2500 0.2524 0.8523  6 Nb 2.75-2.90, 2 Au 2.78, 4 Rh 2.84-2.90
Rh4 0.2500 0.7476 0.8523  6 Nb 2.75-2.90, 2 Au 2.78, 4 Rh 2.84-2.90
Rh5 0.5000 0.2472 0.5000  6 Nb 2.76-2.81, 2 Au 2.83, 4 Rh 2.84-2.90
Rh6 0.5000 0.7528 0.5000  6 Nb 2.76-2.81, 2 Au 2.83, 4 Rh 2.84-2.90
Rh7 0.7500 0.2524 0.1477  6 Nb 2.75-2.90, 2 Au 2.78, 4 Rh 2.84-2.90
Rh8 0.7500 0.7476 0.1477  6 Nb 2.75-2.90, 2 Au 2.78, 4 Rh 2.84-2.90
Au1 0.0000 0.5000 0.0000  8 Rh 2.78-2.83, 4 Nb 2.84-2.87
Au2 0.5000 0.5000 0.0000  8 Rh 2.78-2.83, 4 Nb 2.84-2.87

Calculated values
- Formation energy from the elements: -3.0 eV/f.u.
- D(E_F): 12.53 states/eV per cell